Here is a PBEsol-optimized structure of LaMn2Sb from Alexandria. Energies are from meta-GGA SCAN.

Calculated values
* space group: Pmmm, No. 47
* formation energy from raw total energies: 0.175 eV/atom
* magnetic moment: 0.7695 μB per atom

Cell: 4.308 4.474 4.748 Å, 90.00 90.00 90.00°
Element x y z (fractional)
Sb: 0.500 0.000 0.000
La: 0.500 0.500 0.500
Mn: 0.000 0.000 0.704
Mn: 0.000 0.000 0.296